1.
NaSb2H PBE relaxed; density of states at the Fermi level = 0.0 states/eV/f.u.; DFT total energy = -3.2677 eV/atom; polymorph energy (0 for the lowest one) = 0 meV per atom
1.0
6.418 0.000 0.000
0.000 4.370 0.000
-0.598 0.000 15.495
Na Sb H
4 8 4
direct
0.182 0.226 0.315 Na
0.182 0.274 0.815 Na
0.818 0.726 0.185 Na
0.818 0.774 0.685 Na
0.150 0.749 0.988 Sb
0.150 0.751 0.488 Sb
0.323 0.731 0.161 Sb
0.323 0.769 0.661 Sb
0.677 0.231 0.339 Sb
0.677 0.269 0.839 Sb
0.850 0.249 0.512 Sb
0.850 0.251 0.012 Sb
0.294 0.171 0.660 H
0.294 0.329 0.160 H
0.706 0.671 0.840 H
0.706 0.829 0.340 H

2.
ThPaFe PBE relaxed; calculated formation energy = -102 meV per atom; density of states at the Fermi level = 4.3 states/eV/f.u.; DFT total energy = -8.5614 eV/atom; polymorph energy (0 for the lowest one) = 0 meV per atom
1.0
6.207 0.000 0.000
0.000 6.781 0.000
-0.145 0.000 6.741
Th Pa Fe
4 4 4
direct
0.077 0.241 0.016 Th
0.077 0.259 0.516 Th
0.923 0.741 0.484 Th
0.923 0.759 0.984 Th
0.417 0.613 0.744 Pa
0.417 0.887 0.244 Pa
0.583 0.113 0.756 Pa
0.583 0.387 0.256 Pa
0.261 0.577 0.221 Fe
0.261 0.923 0.721 Fe
0.739 0.077 0.279 Fe
0.739 0.423 0.779 Fe

3.
CaScRe2 PBE relaxed; calculated formation energy = 535 meV per atom; density of states at the Fermi level = 4.7 states/eV/f.u.; DFT total energy = -7.7725 eV/atom; polymorph energy (0 for the lowest one) = 410 meV per atom
1.0
3.270 0.000 0.000
0.000 4.614 0.000
0.000 0.000 9.558
Ca Sc Re
2 2 4
direct
0.000 0.000 0.000 Ca
0.500 0.500 0.500 Ca
0.000 0.000 0.500 Sc
0.500 0.500 0.000 Sc
0.000 0.500 0.243 Re
0.000 0.500 0.757 Re
0.500 0.000 0.257 Re
0.500 0.000 0.743 Re

4.
La15TmTl4 PBE relaxed; calculated formation energy = -185 meV per atom; density of states at the Fermi level = 30.3 states/eV/f.u.; DFT total energy = -4.5772 eV/atom
1.0
5.076 0.000 0.000
0.000 5.076 0.000
0.000 0.000 25.731
La Tm Tl
15 1 4
direct
0.000 0.000 0.000 La
0.000 0.000 0.202 La
0.000 0.000 0.402 La
0.000 0.000 0.598 La
0.000 0.000 0.798 La
0.000 0.500 0.103 La
0.000 0.500 0.302 La
0.000 0.500 0.500 La
0.000 0.500 0.698 La
0.000 0.500 0.897 La
0.500 0.000 0.103 La
0.500 0.000 0.302 La
0.500 0.000 0.500 La
0.500 0.000 0.698 La
0.500 0.000 0.897 La
0.500 0.500 0.000 Tm
0.500 0.500 0.204 Tl
0.500 0.500 0.401 Tl
0.500 0.500 0.599 Tl
0.500 0.500 0.796 Tl

5.
LaNiRu2 PBE relaxed; calculated formation energy = 252 meV per atom; density of states at the Fermi level = 5.5 states/eV/f.u.; DFT total energy = -7.0628 eV/atom; polymorph energy (0 for the lowest one) = 318 meV per atom
1.0
4.042 0.000 0.000
0.000 4.042 0.000
0.000 0.000 4.159
La Ni Ru
1 1 2
direct
0.000 0.000 0.000 La
0.500 0.500 0.000 Ni
0.000 0.500 0.500 Ru
0.500 0.000 0.500 Ru

6.
ScHg2Rh PBE relaxed; calculated formation energy = -247 meV per atom; density of states at the Fermi level = 2.7 states/eV/f.u.; DFT total energy = -3.8189 eV/atom
1.0
6.739 0.000 0.000
0.000 6.739 0.000
0.000 0.000 6.739
Sc Hg Rh
4 8 4
direct
0.000 0.000 0.000 Sc
0.000 0.500 0.500 Sc
0.500 0.000 0.500 Sc
0.500 0.500 0.000 Sc
0.000 0.000 0.500 Hg
0.000 0.500 0.000 Hg
0.250 0.250 0.250 Hg
0.250 0.750 0.750 Hg
0.500 0.000 0.000 Hg
0.500 0.500 0.500 Hg
0.750 0.250 0.750 Hg
0.750 0.750 0.250 Hg
0.250 0.250 0.750 Rh
0.250 0.750 0.250 Rh
0.750 0.250 0.250 Rh
0.750 0.750 0.750 Rh

7.
HfTi2Tc3 PBE relaxed; calculated formation energy = -463 meV per atom; density of states at the Fermi level = 5.9 states/eV/f.u.; DFT total energy = -9.9368 eV/atom
1.0
3.160 0.000 0.000
0.000 3.160 0.000
0.000 0.000 9.485
Hf Ti Tc
1 2 3
direct
0.000 0.000 0.000 Hf
0.000 0.000 0.338 Ti
0.000 0.000 0.662 Ti
0.500 0.500 0.177 Tc
0.500 0.500 0.500 Tc
0.500 0.500 0.823 Tc

8.
SrPCl3 PBE relaxed; density of states at the Fermi level = 1.5 states/eV/f.u.; uncorrected formation energy = -785 meV/atom; DFT total energy = -3.3117 eV/atom; polymorph energy (0 for the lowest one) = 0 meV per atom
1.0
5.105 0.000 0.000
0.000 5.105 0.000
0.000 0.000 5.105
Sr P Cl
1 1 3
direct
0.000 0.000 0.000 Sr
0.500 0.500 0.500 P
0.000 0.500 0.500 Cl
0.500 0.000 0.500 Cl
0.500 0.500 0.000 Cl